Record 1
An optimized crystal structure of HoPuPd4. Source: the Alexandria database, functional PBE.

Lattice parameters (Å, degrees): 3.962 3.962 8.478 90.00 90.00 90.00
Space group P4/mmm (No. 123)
Symmetry-distinct sites (fractional):
Ho 0.000 0.000 0.000 [1 per cell]
Pu 0.500 0.500 0.500 [1 per cell]
Pd 0.000 0.500 0.247 [4 per cell]

Computed properties:
formation energy from the elements	-3.02	eV/f.u.

Record 2
An optimized crystal structure of Pm2Ho5Bi4. Source: the Alexandria database, functional PBE.

Lattice parameters (Å, degrees): 25.017 3.460 8.217 90.00 93.09 90.00
Space group C2/m (No. 12)
Symmetry-distinct sites (fractional):
Pm 0.053 0.000 0.154 [4 per cell]
Ho 0.000 0.500 0.500 [2 per cell]
Ho 0.150 0.000 0.464 [4 per cell]
Ho 0.180 0.000 0.003 [4 per cell]
Bi 0.074 0.000 0.767 [4 per cell]
Bi 0.233 0.500 0.713 [4 per cell]

Computed properties:
formation energy from the elements	-2.75	eV/f.u.

Record 3
An optimized crystal structure of CsNa3Si. Source: the Alexandria database, functional PBE.

Lattice parameters (Å, degrees): 18.262 11.093 7.553 90.00 101.57 90.00
Space group C2/c (No. 15)
Symmetry-distinct sites (fractional):
Cs 0.000 0.009 0.250 [4 per cell]
Cs 0.000 0.365 0.250 [4 per cell]
Na 0.169 0.497 0.585 [8 per cell]
Na 0.177 0.172 0.068 [8 per cell]
Na 0.182 0.174 0.605 [8 per cell]
Si 0.064 0.312 0.771 [8 per cell]

Record 4
An optimized crystal structure of Cu2HgP. Source: the Alexandria database, functional PBE.

Lattice parameters (Å, degrees): 4.052 4.052 7.525 90.00 90.00 90.00
Space group I4/mmm (No. 139)
Symmetry-distinct sites (fractional):
Cu 0.000 0.500 0.250 [4 per cell]
Hg 0.000 0.000 0.000 [2 per cell]
P 0.000 0.000 0.500 [2 per cell]

Computed properties:
formation energy from the elements	1.42	eV/f.u.

Record 5
An optimized crystal structure of Tl2InNi. Source: the Alexandria database, functional PBE.

Lattice parameters (Å, degrees): 3.135 4.350 14.372 90.00 90.00 90.00
Space group Immm (No. 71)
Symmetry-distinct sites (fractional):
Tl 0.000 0.000 0.174 [4 per cell]
In 0.000 0.500 0.000 [2 per cell]
Ni 0.000 0.500 0.500 [2 per cell]

Computed properties:
formation energy from the elements	0.39	eV/f.u.

Record 6
An optimized crystal structure of EuTlGa. Source: the Alexandria database, functional PBE.

Lattice parameters (Å, degrees): 6.990 6.990 6.990 90.00 90.00 90.00
Space group F-43m (No. 216)
Symmetry-distinct sites (fractional):
Eu 0.000 0.000 0.000 [4 per cell]
Tl 0.000 0.000 0.500 [4 per cell]
Ga 0.250 0.250 0.250 [4 per cell]

Computed properties:
formation energy from the elements	-1.00	eV/f.u.

We obtain E values of -7.118; -4.606; -1.942; -3.121; -3.216; -5.556 eV per atom for the records listed above, in that order.